1.
KBeRe2 | PBE | optimized geometry

abc: 4.5243 4.5243 17.3843
angles: 90.00 90.00 90.00
Closest atoms and distances in Å follow each position.
Space group I-42d (No. 122)
Symmetry-distinct sites (fractional):
1 K 0.0000 0.0000 0.0000 x4  4 Re 3.10, 4 Be 3.20
2 Be 0.0000 0.0000 0.5000 x4  4 Re 2.48
3 Re 0.0818 0.2500 0.6250 x8  2 Re 2.38, 2 Be 2.48

The formation energy is 6.56 eV/f.u. The value obtained for the density is 7.849 g/cm³. Its total energy is -92.635 eV for the cell shown. The magnetization is 0.0 μB per formula unit.

---

2.
K2BeRe | PBE | optimized geometry

abc: 5.5805 11.6116 2.7316
angles: 90.00 114.91 90.00
Closest atoms and distances in Å follow each position.
Space group C2/m (No. 12)
Symmetry-distinct sites (fractional):
1 K 0.2500 0.2500 0.0000 x4  6 K 2.73-2.97
2 Be 0.0000 0.0000 0.5000 x2  2 Be 2.73, 4 Re 2.79-2.97
3 Re 0.0000 0.5000 0.5000 x2  2 Re 2.73, 4 Be 2.79-2.97

The formation energy is 6.03 eV/f.u. The value obtained for the density is 5.656 g/cm³. Its total energy is -24.669 eV for the cell shown. The magnetization is 0.0 μB per formula unit.

---

3.
KBeRe2 | PBE | optimized geometry

abc: 3.7623 3.7623 9.7392
angles: 90.00 90.00 90.00
Closest atoms and distances in Å follow each position.
Space group I4/mmm (No. 139)
Symmetry-distinct sites (fractional):
1 K 0.0000 0.0000 0.0000 x2  4 Be 2.66
2 Be 0.0000 0.0000 0.5000 x2  4 K 2.66
3 Re 0.0000 0.5000 0.2500 x4  4 Re 2.66

The formation energy is 6.80 eV/f.u. The value obtained for the density is 10.131 g/cm³. Its total energy is -45.841 eV for the cell shown. The magnetization is 0.0 μB per formula unit.

---

4.
K2BeRe | PBE | optimized geometry

abc: 7.3054 7.3054 7.3054
angles: 90.00 90.00 90.00
Closest atoms and distances in Å follow each position.
Space group F-43m (No. 216)
Symmetry-distinct sites (fractional):
1 K 0.0000 0.0000 0.0000 x4  4 K 3.16, 4 Re 3.16
2 K 0.2500 0.2500 0.2500 x4  4 Be 3.16, 4 K 3.16
3 Be 0.0000 0.0000 0.5000 x4  4 Re 3.16, 4 K 3.16
4 Re 0.2500 0.2500 0.7500 x4  4 K 3.16, 4 Be 3.16

The formation energy is 7.02 eV/f.u. The value obtained for the density is 4.658 g/cm³. Its total energy is -45.386 eV for the cell shown. The magnetization is 2.8 μB per formula unit.

---

5.
KBeRe2 | PBE | optimized geometry

abc: 2.7444 2.7444 29.9508
angles: 90.00 90.00 120.00
Closest atoms and distances in Å follow each position.
Space group R-3m (No. 166, hexagonal axes)
Symmetry-distinct sites (fractional):
1 K 0.0000 0.0000 0.0000 x3  6 K 2.74
2 Be 0.0000 0.0000 0.5000 x3  6 Re 2.54, 6 Be 2.74
3 Re 0.0000 0.0000 0.2329 x6  3 Be 2.54, 6 Re 2.74

The formation energy is 3.42 eV/f.u. The value obtained for the density is 10.723 g/cm³. Its total energy is -78.903 eV for the cell shown. The magnetization is 0.0 μB per formula unit.

---

6.
K2BeRe | PBE | optimized geometry

abc: 3.8375 3.8375 5.6071
angles: 90.00 90.00 90.00
Closest atoms and distances in Å follow each position.
Space group P4/mmm (No. 123)
Symmetry-distinct sites (fractional):
1 K 0.0000 0.5000 0.0000 x2  4 K 2.71
2 Be 0.0000 0.0000 0.5000 x1  4 Re 2.71
3 Re 0.5000 0.5000 0.5000 x1  4 Be 2.71

The formation energy is 6.40 eV/f.u. The value obtained for the density is 5.498 g/cm³. Its total energy is -11.969 eV for the cell shown. The magnetization is 1.1 μB per formula unit.

---

7.
KBe3Re | PBE | optimized geometry

abc: 4.1586 4.1586 4.1586
angles: 90.00 90.00 90.00
Closest atoms and distances in Å follow each position.
Space group Pm-3m (No. 221)
Symmetry-distinct sites (fractional):
1 K 0.0000 0.0000 0.0000 x1  6 Be 2.08
2 Be 0.0000 0.0000 0.5000 x3  2 K 2.08
3 Re 0.5000 0.5000 0.5000 x1  12 Be 2.94

The formation energy is 13.82 eV/f.u. The value obtained for the density is 5.826 g/cm³. Its total energy is -10.905 eV for the cell shown. The magnetization is 1.6 μB per formula unit.

---

8.
KBeRe2 | PBE | optimized geometry

abc: 2.9904 4.5783 10.0220
angles: 90.00 90.00 90.00
Closest atoms and distances in Å follow each position.
Space group Cmm2 (No. 35)
Symmetry-distinct sites (fractional):
1 K 0.0000 0.0000 0.0000 x2  6 K 2.73-2.99
2 Be 0.0000 0.5000 0.7013 x2  2 Re 2.42
3 Re 0.0000 0.0000 0.5116 x2  2 Be 2.42, 2 Re 2.63
4 Re 0.0000 0.5000 0.2956 x2  6 Re 2.63-2.73

The formation energy is 3.38 eV/f.u. The value obtained for the density is 10.178 g/cm³. Its total energy is -52.681 eV for the cell shown. The magnetization is 0.0 μB per formula unit.

---

9.
KBeRe | PBE | optimized geometry

abc: 6.4194 6.4194 6.4194
angles: 90.00 90.00 90.00
Closest atoms and distances in Å follow each position.
Space group F-43m (No. 216)
Symmetry-distinct sites (fractional):
1 K 0.0000 0.0000 0.0000 x4  4 Re 2.78
2 Be 0.0000 0.0000 0.5000 x4  4 Re 2.78
3 Re 0.2500 0.2500 0.7500 x4  4 K 2.78, 4 Be 2.78

The formation energy is 6.85 eV/f.u. The value obtained for the density is 5.883 g/cm³. Its total energy is -41.675 eV for the cell shown. The magnetization is 2.0 μB per formula unit.

---

10.
KBeRe2 | PBE | optimized geometry

abc: 3.7580 3.7580 4.8719
angles: 90.00 90.00 90.00
Closest atoms and distances in Å follow each position.
Space group P4/mmm (No. 123)
Symmetry-distinct sites (fractional):
1 K 0.0000 0.0000 0.0000 x1  4 Be 2.66
2 Be 0.5000 0.5000 0.0000 x1  4 K 2.66
3 Re 0.0000 0.5000 0.5000 x2  4 Re 2.66

The formation energy is 6.76 eV/f.u. The value obtained for the density is 10.149 g/cm³. Its total energy is -22.960 eV for the cell shown. The magnetization is 0.0 μB per formula unit.

---

11.
KBeRe2 | PBE | optimized geometry

abc: 2.6064 4.2040 7.5691
angles: 90.00 93.57 90.00
Closest atoms and distances in Å follow each position.
Space group P2/m (No. 10)
Symmetry-distinct sites (fractional):
1 K 0.0000 0.0000 0.0000 x1  2 K 2.61
2 Be 0.5000 0.0000 0.5000 x1  4 Re 2.41, 2 Be 2.61
3 Re 0.3564 0.5000 0.3497 x2  3 Re 2.35-2.61, 2 Be 2.41

The formation energy is 4.46 eV/f.u. The value obtained for the density is 8.436 g/cm³. Its total energy is -25.262 eV for the cell shown. The magnetization is 0.0 μB per formula unit.

---

12.
K2BeRe | PBE | optimized geometry

abc: 2.7433 2.7433 11.5451
angles: 90.00 90.00 90.00
Closest atoms and distances in Å follow each position.
Space group P4/mmm (No. 123)
Symmetry-distinct sites (fractional):
1 K 0.0000 0.0000 0.2484 x2  4 K 2.74
2 Be 0.5000 0.5000 0.5000 x1  4 Be 2.74
3 Re 0.5000 0.5000 0.0000 x1  4 Re 2.74

The formation energy is 5.77 eV/f.u. The value obtained for the density is 5.225 g/cm³. Its total energy is -12.594 eV for the cell shown. The magnetization is 0.0 μB per formula unit.

---

13.
KBe3Re | PBE | optimized geometry

abc: 4.5254 4.5254 4.5254
angles: 90.00 90.00 90.00
Closest atoms and distances in Å follow each position.
Space group Pm-3m (No. 221)
Symmetry-distinct sites (fractional):
1 K 0.0000 0.0000 0.0000 x1  12 Be 3.20
2 Be 0.0000 0.5000 0.5000 x3  2 Re 2.26
3 Re 0.5000 0.5000 0.5000 x1  6 Be 2.26

The formation energy is 4.80 eV/f.u. The value obtained for the density is 4.521 g/cm³. Its total energy is -19.924 eV for the cell shown. The magnetization is 0.0 μB per formula unit.

---

14.
KBeRe2 | PBE | optimized geometry

abc: 5.3115 10.0789 2.5503
angles: 90.00 90.00 90.00
Closest atoms and distances in Å follow each position.
Space group Cmmm (No. 65)
Symmetry-distinct sites (fractional):
1 K 0.0000 0.0000 0.0000 x2  2 K 2.55, 2 Be 2.66
2 Be 0.0000 0.5000 0.0000 x2  2 Be 2.55, 2 K 2.66
3 Re 0.2500 0.2500 0.5000 x4  4 Re 2.55-2.66

The formation energy is 6.00 eV/f.u. The value obtained for the density is 10.229 g/cm³. Its total energy is -47.433 eV for the cell shown. The magnetization is 0.0 μB per formula unit.

---

15.
KBeRe2 | PBE | optimized geometry

abc: 8.3937 2.7504 7.2056
angles: 90.00 93.99 90.00
Closest atoms and distances in Å follow each position.
Space group Cm (No. 8)
Symmetry-distinct sites (fractional):
1 K 0.0000 0.0000 0.0000 x2  2 K 2.75
2 Be 0.2651 0.5000 0.3630 x2  5 Re 2.40-2.58
3 Re 0.2287 0.0000 0.6314 x2  2 Be 2.41, 3 Re 2.45-2.64
4 Re 0.4831 0.0000 0.4844 x2  3 Be 2.40-2.58, 3 Re 2.45-2.64

The formation energy is 2.92 eV/f.u. The value obtained for the density is 8.416 g/cm³. Its total energy is -53.597 eV for the cell shown. The magnetization is 0.0 μB per formula unit.

---

16.
KBeRe2 | PBE | optimized geometry

abc: 3.1359 4.2593 9.7292
angles: 90.00 90.00 90.00
Closest atoms and distances in Å follow each position.
Space group Cmmm (No. 65)
Symmetry-distinct sites (fractional):
1 K 0.0000 0.0000 0.0000 x2  4 K 2.64
2 Be 0.0000 0.0000 0.5000 x2  4 Re 2.44, 4 Be 2.64
3 Re 0.0000 0.5000 0.3084 x4  2 Be 2.44, 4 Re 2.64

The formation energy is 3.17 eV/f.u. The value obtained for the density is 10.747 g/cm³. Its total energy is -53.106 eV for the cell shown. The magnetization is 0.0 μB per formula unit.

---

17.
K2BeRe | PBE | optimized geometry

abc: 20.5737 3.2176 3.3369
angles: 90.00 98.11 90.00
Closest atoms and distances in Å follow each position.
Space group C2/m (No. 12)
Symmetry-distinct sites (fractional):
1 K 0.1426 0.0000 0.1234 x4  4 K 3.22-3.34, 2 Be 3.32, 2 Re 3.35
2 Be 0.0000 0.5000 0.0000 x2  4 Re 2.32
3 Re 0.0000 0.0000 0.5000 x2  4 Be 2.32

The formation energy is 3.37 eV/f.u. The value obtained for the density is 4.152 g/cm³. Its total energy is -30.008 eV for the cell shown. The magnetization is 0.2 μB per formula unit.

---

18.
KBeRe4 | PBE | optimized geometry

abc: 7.5106 7.5106 7.5106
angles: 90.00 90.00 90.00
Closest atoms and distances in Å follow each position.
Space group F-43m (No. 216)
Symmetry-distinct sites (fractional):
1 K 0.0000 0.0000 0.0000 x4  12 Re 3.11, 4 Be 3.25
2 Be 0.2500 0.2500 0.2500 x4  12 Re 3.11, 4 K 3.25
3 Re 0.1245 0.1245 0.6245 x16  6 Re 2.65-2.67

The formation energy is 7.22 eV/f.u. The value obtained for the density is 12.431 g/cm³. Its total energy is -189.573 eV for the cell shown. The magnetization is 0.0 μB per formula unit.

---

19.
KBeRe | PBE | optimized geometry

abc: 2.7782 2.7782 7.8645
angles: 90.00 90.00 120.00
Closest atoms and distances in Å follow each position.
Space group P3m1 (No. 156)
Symmetry-distinct sites (fractional):
1 K 0.0000 0.0000 0.0000 x1  6 K 2.78
2 Be 0.3333 0.6667 0.6198 x1  3 Re 2.49, 6 Be 2.78
3 Re 0.6667 0.3333 0.3775 x1  3 Be 2.49, 6 Re 2.78

The formation energy is 3.07 eV/f.u. The value obtained for the density is 7.401 g/cm³. Its total energy is -14.198 eV for the cell shown. The magnetization is 0.0 μB per formula unit.

---

20.
K2BeRe | PBE | optimized geometry

abc: 13.0213 13.0213 4.3315
angles: 90.00 90.00 90.00
Closest atoms and distances in Å follow each position.
Space group I-42d (No. 122)
Symmetry-distinct sites (fractional):
1 K 0.0377 0.7500 0.1250 x8  2 Re 3.34, 2 Be 3.67
2 Be 0.0000 0.0000 0.5000 x4  2 Re 2.17
3 Re 0.0000 0.0000 0.0000 x4  2 Be 2.17

The formation energy is 6.02 eV/f.u. The value obtained for the density is 2.473 g/cm³. Its total energy is -49.382 eV for the cell shown. The magnetization is 2.8 μB per formula unit.